# 1
Here is crystalline SmPd2Pb at its relaxed geometry from Alexandria via LeMat-Bulk. Energies are from PBE. Values from VASP.

```
&SYSTEM
  ibrav = 0, nat = 4, ntyp = 3
/
ATOMIC_SPECIES
Pb 207.20 Pb.upf
Pd 106.42 Pd.upf
Sm 150.36 Sm.upf
CELL_PARAMETERS angstrom
-2.274 -0.251 3.009
-2.969 -2.808 -2.479
2.399 -3.855 1.493
ATOMIC_POSITIONS angstrom
Pb -1.137 -0.125 1.504
Pd 1.200 -1.927 0.746
Pd -1.485 -1.404 -1.239
Sm -1.422 -3.457 1.011
```

Computed properties:
SG ... P4/mmm
Raw total energy ... -5.266 eV per atom
Formation enthalpy at 0 K ... -563 meV per atom
Size of the total moment ... 0.0 Bohr magnetons per cell



# 2
Here is crystalline Sm2PdPb at its relaxed geometry from Alexandria via LeMat-Bulk. Energies are from PBE. Values from VASP.

```
&SYSTEM
  ibrav = 0, nat = 4, ntyp = 3
/
ATOMIC_SPECIES
Pb 207.20 Pb.upf
Pd 106.42 Pd.upf
Sm 150.36 Sm.upf
CELL_PARAMETERS angstrom
3.995 0.000 0.000
1.998 3.460 0.000
1.998 1.153 8.429
ATOMIC_POSITIONS angstrom
Pb 3.995 2.307 4.215
Pd 0.000 0.000 0.000
Sm 1.998 1.153 1.759
Sm 5.993 3.460 6.670
```

Computed properties:
SG ... R-3m
Raw total energy ... -5.095 eV per atom
Formation enthalpy at 0 K ... -510 meV per atom
Size of the total moment ... 0.0 Bohr magnetons per cell



# 3
Here is crystalline Sm2Pd4Pb3 at its relaxed geometry from Alexandria via LeMat-Bulk. Energies are from PBE. Values from VASP.

```
&SYSTEM
  ibrav = 0, nat = 18, ntyp = 3
/
ATOMIC_SPECIES
Sm 150.36 Sm.upf
Pd 106.42 Pd.upf
Pb 207.20 Pb.upf
CELL_PARAMETERS angstrom
-3.972 -3.734 -3.176
5.769 -2.847 -3.868
2.968 -4.260 7.562
ATOMIC_POSITIONS angstrom
Sm 3.607 -2.934 -1.061
Sm 1.158 -7.906 1.579
Sm 1.302 -5.130 4.402
Sm 3.463 -5.710 -3.884
Pd 4.175 -8.319 1.424
Pd -1.396 -4.389 -2.495
Pd 0.590 -2.522 -0.906
Pd 6.161 -6.452 3.013
Pd 5.956 -4.753 -1.860
Pd -1.190 -6.087 2.378
Pd 3.421 -5.516 2.206
Pd 1.344 -5.325 -1.688
Pb 0.000 0.000 0.000
Pb 0.899 -3.290 -3.522
Pb 3.848 -6.276 -0.568
Pb -1.069 -6.432 -0.502
Pb 0.917 -4.565 1.086
Pb 5.834 -4.409 1.020
```

Computed properties:
SG ... Cmce
Raw total energy ... -5.117 eV per atom
Formation enthalpy at 0 K ... -524 meV per atom
Size of the total moment ... 0.0 Bohr magnetons per cell



# 4
Here is crystalline SmPdPb at its relaxed geometry from Alexandria via LeMat-Bulk. Energies are from PBE. Values from VASP.

```
&SYSTEM
  ibrav = 0, nat = 18, ntyp = 3
/
ATOMIC_SPECIES
Sm 150.36 Sm.upf
Pd 106.42 Pd.upf
Pb 207.20 Pb.upf
CELL_PARAMETERS angstrom
3.909 0.000 0.000
0.000 7.972 0.000
0.000 0.000 14.078
ATOMIC_POSITIONS angstrom
Sm 0.000 1.767 13.348
Sm 0.000 6.205 0.730
Sm 0.000 1.767 7.770
Sm 0.000 6.205 6.309
Sm 0.000 1.323 3.520
Sm 0.000 6.649 10.559
Pd 1.954 0.574 1.293
Pd 1.954 7.398 12.785
Pd 1.954 0.574 5.746
Pd 1.954 7.398 8.332
Pd 0.000 4.522 3.520
Pd 0.000 3.450 10.559
Pb 1.954 3.483 1.646
Pb 1.954 4.489 12.432
Pb 1.954 3.483 5.393
Pb 1.954 4.489 8.685
Pb 1.954 6.616 3.520
Pb 1.954 1.356 10.559
```

Computed properties:
SG ... Pmma
Raw total energy ... -5.228 eV per atom
Formation enthalpy at 0 K ... -688 meV per atom
Size of the total moment ... 0.0 Bohr magnetons per cell



# 5
Here is crystalline SmPd2Pb at its relaxed geometry from Alexandria via LeMat-Bulk. Energies are from PBE. Values from VASP.

```
&SYSTEM
  ibrav = 0, nat = 4, ntyp = 3
/
ATOMIC_SPECIES
Pb 207.20 Pb.upf
Pd 106.42 Pd.upf
Sm 150.36 Sm.upf
CELL_PARAMETERS angstrom
3.633 0.000 0.000
0.000 3.633 0.000
0.000 0.000 6.692
ATOMIC_POSITIONS angstrom
Pb 1.816 1.816 0.000
Pd 0.000 0.000 4.934
Pd 0.000 0.000 1.758
Sm 1.816 1.816 3.346
```

Computed properties:
SG ... P4/mmm
Raw total energy ... -5.260 eV per atom
Formation enthalpy at 0 K ... -557 meV per atom
Size of the total moment ... 0.0 Bohr magnetons per cell



# 6
Here is crystalline SmPd2Pb2 at its relaxed geometry from Alexandria via LeMat-Bulk. Energies are from PBE. Values from VASP.

```
&SYSTEM
  ibrav = 0, nat = 10, ntyp = 3
/
ATOMIC_SPECIES
Sm 150.36 Sm.upf
Pd 106.42 Pd.upf
Pb 207.20 Pb.upf
CELL_PARAMETERS angstrom
4.984 0.000 0.000
0.000 4.726 -0.880
0.000 -2.867 10.849
ATOMIC_POSITIONS angstrom
Sm 1.246 3.887 1.119
Sm 3.738 -2.028 8.849
Pd 1.246 2.421 6.447
Pd 3.738 -0.563 3.521
Pd 1.246 1.216 -0.140
Pd 3.738 0.642 10.108
Pb 1.246 0.378 8.569
Pb 3.738 1.481 1.400
Pb 1.246 -0.236 5.310
Pb 3.738 2.095 4.659
```

Computed properties:
SG ... P2_1/m
Raw total energy ... -5.039 eV per atom
Formation enthalpy at 0 K ... -535 meV per atom
Size of the total moment ... 0.0 Bohr magnetons per cell



# 7
Here is crystalline SmPdPb at its relaxed geometry from Alexandria via LeMat-Bulk. Energies are from PBE. Values from VASP.

```
&SYSTEM
  ibrav = 0, nat = 3, ntyp = 3
/
ATOMIC_SPECIES
Pb 207.20 Pb.upf
Sm 150.36 Sm.upf
Pd 106.42 Pd.upf
CELL_PARAMETERS angstrom
-1.366 3.226 0.693
-1.907 -1.383 2.683
5.972 0.136 1.938
ATOMIC_POSITIONS angstrom
Pb 2.634 0.642 2.203
Sm -0.790 1.127 2.396
Pd 2.255 1.870 4.942
```

Computed properties:
SG ... I4mm
Raw total energy ... -5.028 eV per atom
Formation enthalpy at 0 K ... -487 meV per atom
Size of the total moment ... 0.0 Bohr magnetons per cell



# 8
Here is crystalline Sm2Pd2Pb at its relaxed geometry from Alexandria via LeMat-Bulk. Energies are from PBE. Values from VASP.

```
&SYSTEM
  ibrav = 0, nat = 10, ntyp = 3
/
ATOMIC_SPECIES
Sm 150.36 Sm.upf
Pd 106.42 Pd.upf
Pb 207.20 Pb.upf
CELL_PARAMETERS angstrom
7.971 0.000 0.000
0.000 7.971 0.000
0.000 0.000 3.757
ATOMIC_POSITIONS angstrom
Sm 2.598 6.584 1.879
Sm 5.374 1.388 1.879
Sm 6.584 5.374 1.879
Sm 1.388 2.598 1.879
Pd 0.989 4.974 0.000
Pd 2.997 0.989 0.000
Pd 6.983 2.997 0.000
Pd 4.974 6.983 0.000
Pb 0.000 0.000 0.000
Pb 3.986 3.986 0.000
```

Computed properties:
SG ... P4/mbm
Raw total energy ... -5.519 eV per atom
Formation enthalpy at 0 K ... -813 meV per atom
Size of the total moment ... 0.0 Bohr magnetons per cell